# 1
# K2PbAu

K2PbAu at its PBEsol-relaxed geometry (SCAN, Alexandria).

Results
energy of formation from the pure elements = -318 meV per atom
SG = Amm2 (38)
raw total energy = -40.717 eV/atom

a = 4.9499 Å, b = 4.8614 Å, c = 6.5580 Å
α = 111.76°, β = 90.00°, γ = 90.00°
Last column: nearest neighbours and their distance in Å.
Fractional positions:
K1 0.5000 0.3996 0.7992  3 Au 3.44-3.65, 4 Pb 3.69
K2 0.0000 0.0935 0.1870  3 Pb 3.46-3.62, 4 Au 3.70
Pb1 0.0000 0.7962 0.5924  2 Au 2.74
Au1 0.5000 0.6994 0.3988  2 Pb 2.74

---

# 2
# Mo3OsC

Mo3OsC at its PBEsol-relaxed geometry (SCAN, Alexandria).

Results
energy of formation from the pure elements = 195 meV per atom
SG = Pm-3m (221)
raw total energy = -37.132 eV/atom

a = 4.0689 Å, b = 4.0689 Å, c = 4.0689 Å
α = 90.00°, β = 90.00°, γ = 90.00°
Last column: nearest neighbours and their distance in Å.
Fractional positions:
Mo1 0.0000 0.5000 0.0000  2 C 2.03
Mo2 0.0000 0.0000 0.5000  2 C 2.03
Mo3 0.5000 0.0000 0.0000  2 C 2.03
Os1 0.5000 0.5000 0.5000  12 Mo 2.88
C1 0.0000 0.0000 0.0000  6 Mo 2.03

---

# 3
# NaCaScSn2

NaCaScSn2 at its PBEsol-relaxed geometry (SCAN, Alexandria).

Results
energy of formation from the pure elements = 360 meV per atom
SG = P4/mmm (123)
raw total energy = -19.632 eV/atom

a = 4.9366 Å, b = 5.2960 Å, c = 5.2960 Å
α = 90.00°, β = 90.00°, γ = 90.00°
Last column: nearest neighbours and their distance in Å.
Fractional positions:
Ca1 0.5000 0.0000 0.0000  2 Na 2.47
Na1 0.0000 0.0000 0.0000  2 Ca 2.47, 4 Sn 2.65
Sc1 0.5000 0.5000 0.5000  8 Sn 3.62, 4 Ca 3.74
Sn1 0.0000 0.5000 0.0000  2 Na 2.65
Sn2 0.0000 0.0000 0.5000  2 Na 2.65

---

# 4
# ZrSb2Te

ZrSb2Te at its PBEsol-relaxed geometry (SCAN, Alexandria).

Results
SG = C2/m (12)
raw total energy = -35.703 eV/atom
formation energy from raw total energies = -0.08 eV per atom

a = 4.0229 Å, b = 5.6061 Å, c = 5.6061 Å
α = 114.82°, β = 103.81°, γ = 103.81°
Last column: nearest neighbours and their distance in Å.
Fractional positions:
Zr1 0.5000 0.5000 0.5000  2 Te 3.02, 4 Sb 3.04
Sb1 0.0000 0.5000 0.0000  2 Sb 3.02, 2 Te 3.04, 2 Zr 3.04
Sb2 0.0000 0.0000 0.5000  2 Sb 3.02, 2 Zr 3.04, 2 Te 3.04
Te1 0.5000 0.0000 0.0000  2 Zr 3.02, 4 Sb 3.04

---

no.,volume (Å³/cell),magnetic moment (μB per cell)
1,146.57,0.00
2,67.37,0.00
3,138.46,0.97
4,102.87,0.00